## Ac2PmCd12Ag3 (PBE)

Data for Ac2PmCd12Ag3 after structural relaxation.

Space-group type ... R-3m
Formation enthalpy at 0 K ... -0.6 eV per formula unit
Electronic total energy ... -1.837 eV/atom

Unit cell a=11.441 b=11.441 c=11.441 alpha=37.17 beta=37.17 gamma=37.17
Fractional positions:
Cd: 0.682 0.682 0.278
Cd: 0.874 0.454 0.874
Cd: 0.278 0.682 0.682
Cd: 0.318 0.722 0.318
Cd: 0.454 0.874 0.874
Ac: 0.642 0.642 0.642
Ag: 0.000 0.000 0.500
Cd: 0.126 0.126 0.546
Pm: 0.000 0.000 0.000
Cd: 0.126 0.546 0.126
Ag: 0.000 0.500 0.000
Ag: 0.500 0.000 0.000
Ac: 0.358 0.358 0.358
Cd: 0.546 0.126 0.126
Cd: 0.682 0.278 0.682
Cd: 0.874 0.874 0.454
Cd: 0.722 0.318 0.318
Cd: 0.318 0.318 0.722